# ErThAgRh

A relaxed structure of ErThAgRh (PBE-GGA, Alexandria via LeMat-Bulk).

The structure belongs to space group F-43m (No. 216); the cell edges are 7.1749, 7.1749 and 7.1749 Å and the angles 90.00°, 90.00° and 90.00°. The asymmetric unit holds Er at (0.0000, 0.0000, 0.0000), Th at (0.0000, 0.0000, 0.5000), Ag at (0.2500, 0.2500, 0.7500) and Rh at (0.2500, 0.2500, 0.2500).

As for the total magnetization: 0.00 μB/atom. Its density of states at the Fermi level is 9.02 states/eV/cell. The value obtained for the formation energy is -0.4758 eV/atom. The calculated density is 10971 kg/m³.



# RbCeBr5

A relaxed structure of RbCeBr5 (PBE-GGA, Alexandria via LeMat-Bulk).

The structure belongs to space group C2/c (No. 15); the cell edges are 13.1483, 8.8740 and 11.5041 Å and the angles 90.00°, 113.89° and 90.00°. The asymmetric unit holds Rb at (0.0000, 0.0328, 0.2500), Ce at (0.0000, 0.5000, 0.0000), Br at (0.0000, 0.4444, 0.2500), Br at (0.0864, 0.2120, 0.0132) and Br at (0.2091, 0.3820, 0.6146).

As for the total magnetization: 0.00 μB/atom. The uncorrected formation energy comes out at -1.63 eV per atom. The calculated density is 3383 kg/m³.



# SrScTe2

A relaxed structure of SrScTe2 (PBE-GGA, Alexandria via LeMat-Bulk).

The structure belongs to space group Immm (No. 71); the cell edges are 4.4248, 6.7616 and 8.7036 Å and the angles 90.00°, 90.00° and 90.00°. The asymmetric unit holds Sr at (0.0000, 0.0000, 0.0000), Sc at (0.0000, 0.0000, 0.5000) and Te at (0.0000, 0.5000, 0.2154).

As for the total magnetization: 0.21 μB/atom. Its density of states at the Fermi level is 3.79 states/eV/cell. The uncorrected formation energy comes out at -1.07 eV per atom. The calculated density is 4946 kg/m³. The calculation puts the energy above the most stable polymorph in this dataset at 302.8 meV per atom.



# VFe4Sb

A relaxed structure of VFe4Sb (PBE-GGA, Alexandria via LeMat-Bulk).

The structure belongs to space group F-43m (No. 216); the cell edges are 6.8098, 6.8098 and 6.8098 Å and the angles 90.00°, 90.00° and 90.00°. The asymmetric unit holds V at (0.0000, 0.0000, 0.0000), Fe at (0.1257, 0.1257, 0.3743) and Sb at (0.2500, 0.2500, 0.7500).

As for the total magnetization: 1.01 μB/atom. Its density of states at the Fermi level is 24.67 states/eV/cell. The uncorrected formation energy comes out at 0.06 eV per atom. The calculated density is 8331 kg/m³.